Version w
Material: Sm5Y3Tm
Method: DFT, PBE
State: optimized geometry

Results
Symmetry: C2/c, No. 15
Calculated volume (Å³ per cell): 600.3

POSCAR file:
```
Sm5Y3Tm
1.0
-11.9588 -0.6079 -1.9515
-9.5427 -6.8021 -3.1400
-9.1417 -4.6052 5.4170
Sm Y Tm
10 6 2
direct
0.0796 0.2638 0.0060
0.3153 0.6847 0.7500
0.6083 0.6113 0.8290
0.7362 0.9204 0.4940
0.3917 0.3887 0.1710
0.2638 0.0796 0.5060
0.9204 0.7362 0.9940
0.3887 0.3917 0.6709
0.6847 0.3153 0.2500
0.6113 0.6083 0.3290
0.3611 0.1616 0.1082
0.6389 0.8384 0.8918
0.0000 0.0000 0.0000
0.8384 0.6389 0.3918
0.1616 0.3611 0.6082
0.0000 0.0000 0.5000
0.2356 0.7644 0.2500
0.7644 0.2356 0.7500
```

---

Version x
Material: Sm5Y3Tm
Method: DFT, PBE
State: optimized geometry

Results
Symmetry: C2/m, No. 12
Calculated volume (Å³ per cell): 676.2

POSCAR file:
```
Sm5Y3Tm
1.0
9.4072 -0.1764 1.8295
2.4056 9.0962 1.8295
5.4406 4.1081 9.5479
Sm Y Tm
10 6 2
direct
0.2536 0.7464 0.0000
0.5104 0.5104 0.7626
0.6596 0.1548 0.7450
0.4896 0.4896 0.2374
0.1548 0.6596 0.7450
0.1804 0.1804 0.0430
0.3404 0.8452 0.2550
0.7464 0.2536 0.0000
0.8196 0.8196 0.9570
0.8452 0.3404 0.2550
0.3150 0.3150 0.1756
0.0000 0.0000 0.5000
0.3384 0.3384 0.6451
0.0000 0.0000 0.0000
0.6850 0.6850 0.8244
0.6616 0.6616 0.3549
0.1515 0.1515 0.5965
0.8485 0.8485 0.4035
```

---

The data favor version w; the next most stable structure lies 343 meV per atom above it.

---

Version w
Material: SmY6Tm2
Method: DFT, PBE
State: optimized geometry

Results
Symmetry: C2/m, No. 12
Calculated volume (Å³ per cell): 292.1

POSCAR file:
```
SmY6Tm2
1.0
-2.0352 -2.2663 1.7609
0.9205 -7.2435 -4.7438
7.0149 -5.0189 5.1635
Y Tm Sm
6 2 1
direct
0.6136 0.3280 0.4448
0.0480 0.6527 0.2513
0.3864 0.6720 0.5552
0.2306 0.6515 0.8873
0.9520 0.3473 0.7487
0.7694 0.3485 0.1127
0.6720 0.9802 0.6758
0.3280 0.0198 0.3242
0.0000 0.0000 0.0000
```

---

Version x
Material: SmY6Tm2
Method: DFT, PBE
State: optimized geometry

Results
Symmetry: Ibam, No. 72
Calculated volume (Å³ per cell): 574.7

POSCAR file:
```
SmY6Tm2
1.0
5.6346 -0.9332 0.1841
-1.4683 9.8578 6.3976
-2.9774 1.7199 11.3330
Sm Y Tm
2 12 4
direct
0.2500 0.2502 0.7498
0.7500 0.7498 0.2502
0.5825 0.5827 0.0824
0.3655 0.0026 0.1668
0.0825 0.0824 0.5827
0.1961 0.4974 0.3330
0.8655 0.1668 0.0026
0.6961 0.3330 0.4974
0.3039 0.6670 0.5026
0.1345 0.8332 0.9974
0.8039 0.5026 0.6670
0.4175 0.4173 0.9176
0.9175 0.9176 0.4173
0.6345 0.9974 0.8332
0.9680 0.3323 0.1678
0.5320 0.8322 0.6677
0.0320 0.6677 0.8322
0.4680 0.1678 0.3323
```

---

The data favor version x; the next most stable structure lies 34 meV per atom above it.

---

Version w
Material: Sm2Y12Tm5
Method: DFT, PBE
State: optimized geometry

Results
Symmetry: C2/m, No. 12
Calculated volume (Å³ per cell): 619.7

POSCAR file:
```
Sm2Y12Tm5
1.0
9.2797 0.0000 0.0000
-4.6398 11.3364 -1.8004
0.0000 -5.2555 6.7254
Tm Y Sm
5 12 2
direct
0.2315 0.4631 0.8877
0.3023 0.6045 0.6158
0.7685 0.5369 0.1123
0.0000 0.0000 0.5000
0.6977 0.3955 0.3842
0.3359 0.3108 0.0702
0.1804 0.7458 0.4009
0.5582 0.1163 0.7869
0.0252 0.6892 0.9298
0.5653 0.7458 0.4009
0.9097 0.8194 0.6993
0.0903 0.1806 0.3007
0.6641 0.6892 0.9298
0.8196 0.2542 0.5991
0.9748 0.3108 0.0702
0.4347 0.2542 0.5991
0.4418 0.8837 0.2131
0.6794 0.0000 0.0000
0.3206 0.0000 0.0000
```

---

Version x
Material: Sm2Y12Tm5
Method: DFT, PBE
State: optimized geometry

Results
Symmetry: P-1, No. 2
Calculated volume (Å³ per cell): 621.0

POSCAR file:
```
Sm2Y12Tm5
1.0
7.9355 0.9765 -1.9116
-1.9704 8.4149 -6.1171
-2.4827 -3.2204 11.8572
Tm Y Sm
5 12 2
direct
0.0000 0.0000 0.5000
0.2873 0.8975 0.3553
0.4280 0.7559 0.8027
0.7127 0.1025 0.6446
0.5720 0.2441 0.1973
0.9918 0.3282 0.5017
0.8637 0.8080 0.0683
0.4468 0.4073 0.7979
0.0082 0.6718 0.4983
0.1363 0.1920 0.9317
0.9182 0.5112 0.1167
0.5527 0.3633 0.5415
0.4473 0.6367 0.4585
0.5532 0.5927 0.2020
0.5256 0.9096 0.1903
0.4744 0.0904 0.8097
0.0818 0.4888 0.8833
0.0321 0.8022 0.8499
0.9679 0.1978 0.1501
```

---

The data favor version w; the next most stable structure lies 11 meV per atom above it.

---

Version w
Material: Sm2YTm
Method: DFT, PBE
State: optimized geometry

Results
Symmetry: Pmmn, No. 59
Calculated volume (Å³ per cell): 526.8

POSCAR file:
```
Sm2YTm
1.0
-2.3605 -0.2975 -5.1883
-2.5288 -12.2300 1.8519
-6.4934 1.7746 2.8525
Tm Y Sm
4 4 8
direct
0.4432 0.8334 0.2497
0.9432 0.6666 0.7497
0.4432 0.3334 0.2503
0.9432 0.1666 0.7503
0.4433 0.8314 0.7497
0.4433 0.3314 0.7503
0.9433 0.1686 0.2503
0.9433 0.6686 0.2497
0.4433 0.0839 0.9996
0.9432 0.9161 0.4990
0.4432 0.5839 0.9990
0.9433 0.9161 0.0004
0.9433 0.4161 0.4996
0.4433 0.5839 0.5004
0.4432 0.0839 0.5010
0.9432 0.4161 0.0010
```

---

Version x
Material: Sm2YTm
Method: DFT, PBE
State: optimized geometry

Results
Symmetry: P2_12_12_1, No. 19
Calculated volume (Å³ per cell): 519.0

POSCAR file:
```
Sm2YTm
1.0
-3.2884 -0.7672 -1.2414
2.8078 -11.2298 -0.4978
-4.0497 -1.5300 11.6733
Sm Y Tm
8 4 4
direct
0.7498 0.0014 0.2081
0.2502 0.5014 0.2919
0.2504 0.9982 0.4581
0.7504 0.5018 0.5419
0.7502 0.9986 0.7081
0.7496 0.4982 0.0419
0.2496 0.0018 0.9581
0.2498 0.4986 0.7919
0.2511 0.2499 0.6264
0.2489 0.7501 0.1264
0.7489 0.7499 0.8736
0.7511 0.2501 0.3736
0.2495 0.7499 0.6236
0.2505 0.2501 0.1236
0.7495 0.7501 0.3764
0.7505 0.2499 0.8764
```

---

Version y
Material: Sm2YTm
Method: DFT, PBE
State: optimized geometry

Results
Symmetry: Fm-3m, No. 225
Calculated volume (Å³ per cell): 131.3

POSCAR file:
```
Sm2YTm
1.0
-0.6296 -2.1322 -5.2541
4.0494 -3.3470 -2.2244
-0.9824 -5.5738 -0.7177
Sm Tm Y
2 1 1
direct
0.2500 0.2500 0.2500
0.7500 0.7500 0.7500
0.0000 0.0000 0.0000
0.5000 0.5000 0.5000
```

---

The data favor version w; the next most stable structure lies 6 meV per atom above it.

---

Version w
Material: Sm4Y4Tm3
Method: DFT, PBE
State: optimized geometry

Results
Symmetry: P-1, No. 2
Calculated volume (Å³ per cell): 353.5

POSCAR file:
```
Sm4Y4Tm3
1.0
-1.0223 0.2751 -3.3690
3.8227 -3.8380 -1.4735
-10.5952 -14.7178 0.1585
Sm Y Tm
4 4 3
direct
0.6799 0.1797 0.6412
0.3201 0.8203 0.3588
0.4540 0.4533 0.0916
0.5460 0.5467 0.9084
0.2675 0.2673 0.4653
0.7325 0.7327 0.5348
0.5905 0.0910 0.8197
0.4095 0.9090 0.1803
0.8631 0.3631 0.2731
0.1369 0.6369 0.7269
0.0000 0.0000 0.0000
```

---

Version x
Material: Sm4Y4Tm3
Method: DFT, PBE
State: optimized geometry

Results
Symmetry: Immm, No. 71
Calculated volume (Å³ per cell): 365.8

POSCAR file:
```
Sm4Y4Tm3
1.0
3.5430 0.0000 -0.6526
-0.8330 8.0340 -4.5225
0.3697 1.4324 11.9506
Tm Sm Y
3 4 4
direct
0.0000 0.5000 0.0000
0.1086 0.1086 0.2172
0.8914 0.8914 0.7828
0.6417 0.4625 0.2833
0.3583 0.5375 0.7167
0.3583 0.1792 0.7167
0.6417 0.8208 0.2833
0.5000 0.8181 0.0000
0.2584 0.7584 0.5168
0.5000 0.1819 0.0000
0.7416 0.2416 0.4832
```

---

The data favor version w; the next most stable structure lies 68 meV per atom above it.

---

Version w
Material: Sm5YTm2
Method: DFT, PBE
State: optimized geometry

Results
Symmetry: Pbam, No. 55
Calculated volume (Å³ per cell): 521.7

POSCAR file:
```
Sm5YTm2
1.0
-3.6460 3.3430 1.0986
-4.3535 -5.3747 1.9068
4.8470 0.8563 13.4802
Y Tm Sm
2 4 10
direct
0.0000 0.0000 0.5000
0.0000 0.5000 0.0000
0.5000 0.2509 0.6246
0.5000 0.7491 0.3754
0.5000 0.2491 0.1246
0.5000 0.7509 0.8754
0.0000 0.0000 0.0000
0.5000 0.2508 0.8751
0.0000 0.9990 0.2501
0.0000 0.5000 0.5000
0.0000 0.4990 0.2499
0.0000 0.5010 0.7501
0.5000 0.7508 0.6249
0.5000 0.2492 0.3751
0.0000 0.0010 0.7499
0.5000 0.7492 0.1249
```

---

Version x
Material: Sm5YTm2
Method: DFT, PBE
State: optimized geometry

Results
Symmetry: P2_1/m, No. 11
Calculated volume (Å³ per cell): 539.0

POSCAR file:
```
Sm5YTm2
1.0
8.0644 -3.7339 0.0012
-11.9564 11.3952 -0.0252
0.0185 0.0460 11.4066
Sm Tm Y
10 4 2
direct
0.4447 0.6795 0.7500
0.4871 0.6827 0.0771
0.5130 0.3174 0.5771
0.5553 0.3205 0.2500
0.5129 0.3173 0.9229
0.3852 0.0460 0.5770
0.6150 0.9540 0.0771
0.3850 0.0460 0.9229
0.4870 0.6826 0.4229
0.6148 0.9540 0.4230
0.6745 0.5722 0.3812
0.3255 0.4278 0.6188
0.6748 0.5723 0.1187
0.3252 0.4277 0.8813
0.6435 0.1492 0.2500
0.3565 0.8508 0.7500
```

---

The data favor version w; the next most stable structure lies 142 meV per atom above it.